A plane-wave DFT calculation with PBE with a Hubbard U was carried out for crystalline Ag4MoF7 at its relaxed geometry.

Unit cell a=8.714 b=8.714 c=5.720 alpha=99.42 beta=99.42 gamma=27.50
Positions (direct):
Ag: 0.092 0.092 0.031
Ag: 0.218 0.218 0.721
Ag: 0.782 0.782 0.279
Ag: 0.908 0.908 0.969
Mo: 0.500 0.500 0.500
F: 0.000 0.000 0.500
F: 0.223 0.223 0.264
F: 0.397 0.397 0.240
F: 0.431 0.431 0.769
F: 0.569 0.569 0.231
F: 0.603 0.603 0.760
F: 0.777 0.777 0.736

Values from the calculation:
E_tot (eV per formula unit): -49.26
Calculated density (g/cm3): 5.55
Total magnetic moment (μB per atom): 0.2440